[1]
TlHg2Te PBE relaxed; M_tot = 0.0 μB/cell; E_tot = -6.1 eV/cell; E above lowest polymorph = 0.25 eV/f.u.; formation energy (no corrections) = 0 kJ/mol of formula units
1.0
-3.330 0.893 3.689
-3.637 -2.156 -2.761
0.990 -4.079 1.881
Hg Te Tl
2 1 1
direct
0.000 0.000 0.000 Hg
0.500 0.500 0.000 Hg
0.500 0.000 0.500 Te
0.000 0.500 0.500 Tl

[2]
TlHgTe2 PBE relaxed; M_tot = 0.0 μB/cell; E_tot = -9.1 eV/cell; formation energy (no corrections) = -10 kJ/mol of formula units
1.0
6.978 0.007 0.000
-4.083 5.659 0.000
0.000 0.000 3.195
Tl Te Hg
1 2 1
direct
0.500 0.000 0.500 Tl
0.000 0.000 0.000 Te
0.500 0.500 0.000 Te
0.000 0.500 0.500 Hg

[3]
Tl3HgTe3 PBE relaxed; M_tot = 0.0 μB/cell; E_tot = -36.1 eV/cell; E above lowest polymorph = 0.08 eV/f.u.; formation energy (no corrections) = -120 kJ/mol of formula units
1.0
8.411 0.612 0.366
-3.199 7.802 0.366
-0.413 -0.666 7.832
Hg Tl Te
2 6 6
direct
0.774 0.774 0.907 Hg
0.226 0.226 0.093 Hg
0.342 0.342 0.531 Tl
0.185 0.815 0.500 Tl
0.785 0.215 0.000 Tl
0.815 0.185 0.500 Tl
0.215 0.785 0.000 Tl
0.658 0.658 0.469 Tl
0.459 0.105 0.266 Te
0.895 0.541 0.734 Te
0.541 0.895 0.734 Te
0.095 0.095 0.768 Te
0.905 0.905 0.232 Te
0.105 0.459 0.266 Te

[4]
Tl2HgTe PBE relaxed; M_tot = 0.0 μB/cell; E_tot = -8.8 eV/cell; E above lowest polymorph = 0.25 eV/f.u.; formation energy (no corrections) = -58 kJ/mol of formula units
1.0
-6.059 -0.338 3.704
-5.862 -3.381 -2.180
6.988 -0.658 1.132
Tl Te Hg
2 1 1
direct
0.030 0.030 0.000 Tl
0.782 0.282 0.500 Tl
0.215 0.715 0.500 Te
0.473 0.473 0.000 Hg

[5]
Tl6Hg2Te PBE relaxed; M_tot = 0.0 μB/cell; E_tot = -18.5 eV/cell; formation energy (no corrections) = -54 kJ/mol of formula units
1.0
-1.589 -4.494 6.799
3.959 -3.065 3.970
0.344 5.237 4.638
Tl Hg Te
6 2 1
direct
0.676 0.000 0.332 Tl
0.154 0.349 0.178 Tl
0.497 0.349 0.822 Tl
0.324 0.000 0.668 Tl
0.846 0.651 0.822 Tl
0.503 0.651 0.178 Tl
0.159 0.681 0.500 Hg
0.841 0.319 0.500 Hg
0.000 0.000 0.000 Te

[6]
Tl9Hg2Te4 PBE relaxed; M_tot = 0.0 μB/cell; E_tot = -37.2 eV/cell; formation energy (no corrections) = -264 kJ/mol of formula units
1.0
4.638 0.000 0.000
-2.319 4.017 0.000
0.000 0.000 30.229
Tl Te Hg
9 4 2
direct
0.000 0.000 0.837 Tl
0.000 0.000 0.500 Tl
0.667 0.333 0.044 Tl
0.333 0.667 0.571 Tl
0.000 0.000 0.308 Tl
0.000 0.000 0.163 Tl
0.333 0.667 0.956 Tl
0.000 0.000 0.692 Tl
0.667 0.333 0.429 Tl
0.667 0.333 0.896 Te
0.333 0.667 0.369 Te
0.667 0.333 0.631 Te
0.333 0.667 0.104 Te
0.333 0.667 0.762 Hg
0.667 0.333 0.238 Hg

[7]
TlHg2Te PBE relaxed; M_tot = 0.0 μB/cell; E_tot = -6.3 eV/cell; E above lowest polymorph = 0.05 eV/f.u.; formation energy (no corrections) = -20 kJ/mol of formula units
1.0
-0.826 -2.664 -5.458
-0.293 -2.955 1.487
-6.356 -1.605 1.745
Te Hg Tl
1 2 1
direct
0.000 0.380 0.623 Te
0.500 0.364 0.127 Hg
0.000 0.879 0.123 Hg
0.500 0.877 0.627 Tl

[8]
Tl4Hg3Te PBE relaxed; M_tot = 0.0 μB/cell; E_tot = -28.5 eV/cell; formation energy (no corrections) = -73 kJ/mol of formula units
1.0
-0.664 -5.468 -1.094
0.832 -1.576 7.374
-11.320 1.073 1.506
Hg Tl Te
6 8 2
direct
0.500 0.000 0.750 Hg
0.000 0.000 0.500 Hg
0.500 0.000 0.250 Hg
0.500 0.500 0.250 Hg
0.500 0.500 0.750 Hg
0.000 0.000 0.000 Hg
0.500 0.244 0.000 Tl
0.500 0.756 0.500 Tl
0.500 0.756 0.000 Tl
0.000 0.757 0.250 Tl
0.500 0.244 0.500 Tl
0.000 0.243 0.750 Tl
0.000 0.757 0.750 Tl
0.000 0.243 0.250 Tl
0.000 0.500 0.500 Te
0.000 0.500 0.000 Te

[9]
TlHgTe3 PBE relaxed; M_tot = 0.0 μB/cell; E_tot = -23.5 eV/cell; E above lowest polymorph = 0.00 eV/f.u.; formation energy (no corrections) = 33 kJ/mol of formula units
1.0
0.312 3.671 7.963
4.018 -2.760 7.295
6.806 3.474 4.311
Te Tl Hg
6 2 2
direct
0.109 0.847 0.333 Te
0.333 0.109 0.847 Te
0.609 0.833 0.347 Te
0.847 0.333 0.109 Te
0.833 0.347 0.609 Te
0.347 0.609 0.833 Te
0.725 0.725 0.725 Tl
0.225 0.225 0.225 Tl
0.457 0.457 0.457 Hg
0.957 0.957 0.957 Hg

[10]
Tl3HgTe3 PBE relaxed; M_tot = 0.0 μB/cell; E_tot = -36.3 eV/cell; E above lowest polymorph = 0.00 eV/f.u.; formation energy (no corrections) = -127 kJ/mol of formula units
1.0
4.549 0.000 0.685
2.321 7.815 0.034
0.074 -1.486 14.950
Hg Tl Te
2 6 6
direct
0.187 0.008 0.617 Hg
0.813 0.992 0.383 Hg
0.746 0.725 0.783 Tl
0.513 0.583 0.391 Tl
0.567 0.777 0.089 Tl
0.254 0.275 0.217 Tl
0.487 0.417 0.609 Tl
0.433 0.223 0.911 Tl
0.181 0.206 0.432 Te
0.975 0.302 0.749 Te
0.819 0.794 0.568 Te
0.025 0.698 0.251 Te
0.105 0.875 0.915 Te
0.895 0.125 0.085 Te

[11]
Tl2HgTe PBE relaxed; M_tot = 0.0 μB/cell; E_tot = -8.6 eV/cell; E above lowest polymorph = 0.41 eV/f.u.; formation energy (no corrections) = -43 kJ/mol of formula units
1.0
-2.888 -4.128 -3.486
0.560 -2.376 2.350
-5.308 1.422 2.713
Tl Hg Te
2 1 1
direct
0.000 0.126 0.874 Tl
0.500 0.123 0.376 Tl
0.000 0.626 0.374 Hg
0.500 0.625 0.876 Te

[12]
Tl3HgTe2 PBE relaxed; M_tot = 0.0 μB/cell; E_tot = -59.3 eV/cell; formation energy (no corrections) = -110 kJ/mol of formula units
1.0
-1.940 1.676 -5.027
-1.882 -10.667 -2.831
-12.068 0.821 4.929
Tl Hg Te
12 4 8
direct
0.250 0.405 0.343 Tl
0.750 0.595 0.657 Tl
0.750 0.905 0.157 Tl
0.250 0.095 0.843 Tl
0.750 0.897 0.441 Tl
0.250 0.103 0.559 Tl
0.750 0.603 0.941 Tl
0.250 0.397 0.059 Tl
0.750 0.214 0.281 Tl
0.750 0.286 0.781 Tl
0.250 0.786 0.719 Tl
0.250 0.714 0.219 Tl
0.750 0.888 0.910 Hg
0.750 0.612 0.410 Hg
0.250 0.112 0.090 Hg
0.250 0.388 0.590 Hg
0.250 0.464 0.812 Te
0.250 0.662 0.472 Te
0.250 0.838 0.972 Te
0.250 0.036 0.312 Te
0.750 0.964 0.688 Te
0.750 0.338 0.528 Te
0.750 0.162 0.028 Te
0.750 0.536 0.188 Te

[13]
TlHgTe2 PBE relaxed; M_tot = 0.0 μB/cell; E_tot = -9.1 eV/cell; formation energy (no corrections) = -11 kJ/mol of formula units
1.0
6.166 0.000 0.000
0.000 3.222 -0.047
0.000 2.229 6.214
Tl Te Hg
1 2 1
direct
0.500 0.250 0.250 Tl
0.000 0.484 0.500 Te
0.000 0.016 0.000 Te
0.500 0.750 0.750 Hg

[14]
TlHg2Te PBE relaxed; M_tot = 0.0 μB/cell; E_tot = -12.5 eV/cell; E above lowest polymorph = 0.12 eV/f.u.; formation energy (no corrections) = -13 kJ/mol of formula units
1.0
-5.773 5.326 3.139
0.288 -4.059 7.416
-0.240 2.728 6.326
Hg Te Tl
4 2 2
direct
0.375 0.388 0.750 Hg
0.875 0.862 0.750 Hg
0.612 0.125 0.250 Hg
0.138 0.625 0.250 Hg
0.250 0.750 0.500 Te
0.500 0.500 0.000 Te
0.000 0.000 0.000 Tl
0.750 0.250 0.500 Tl

[15]
TlHgTe2 PBE relaxed; M_tot = 0.0 μB/cell; E_tot = -9.1 eV/cell; formation energy (no corrections) = -10 kJ/mol of formula units
1.0
3.209 0.016 0.000
-0.021 3.209 0.000
0.000 0.000 12.571
Te Hg Tl
2 1 1
direct
0.000 0.000 0.477 Te
0.000 0.000 0.023 Te
0.500 0.500 0.750 Hg
0.500 0.500 0.250 Tl

[16]
Tl15Hg4Te PBE relaxed; M_tot = 0.0 μB/cell; E_tot = -40.2 eV/cell; formation energy (no corrections) = -30 kJ/mol of formula units
1.0
-0.211 4.572 -1.808
-3.259 1.225 3.477
18.597 6.804 15.037
Tl Hg Te
15 4 1
direct
0.500 0.000 0.300 Tl
0.000 0.500 0.897 Tl
0.500 0.500 0.000 Tl
0.000 0.500 0.700 Tl
0.500 0.500 0.204 Tl
0.000 0.500 0.500 Tl
0.500 0.500 0.399 Tl
0.500 0.000 0.897 Tl
0.000 0.500 0.103 Tl
0.500 0.500 0.601 Tl
0.500 0.000 0.500 Tl
0.000 0.500 0.300 Tl
0.500 0.000 0.103 Tl
0.500 0.500 0.796 Tl
0.500 0.000 0.700 Tl
0.000 0.000 0.797 Hg
0.000 0.000 0.203 Hg
0.000 0.000 0.400 Hg
0.000 0.000 0.600 Hg
0.000 0.000 0.000 Te

[17]
Tl2Hg6Te PBE relaxed; M_tot = 0.0 μB/cell; E_tot = -20.7 eV/cell; formation energy (no corrections) = -65 kJ/mol of formula units
1.0
-5.987 6.319 6.112
1.967 5.917 8.545
5.710 8.812 1.693
Hg Tl Te
12 4 2
direct
0.768 0.554 0.939 Hg
0.640 0.405 0.371 Hg
0.939 0.054 0.768 Hg
0.371 0.905 0.640 Hg
0.629 0.095 0.360 Hg
0.981 0.763 0.671 Hg
0.671 0.263 0.981 Hg
0.232 0.446 0.061 Hg
0.329 0.737 0.019 Hg
0.360 0.595 0.629 Hg
0.061 0.946 0.232 Hg
0.019 0.237 0.329 Hg
0.598 0.059 0.784 Tl
0.402 0.941 0.216 Tl
0.784 0.559 0.598 Tl
0.216 0.441 0.402 Tl
0.808 0.750 0.192 Te
0.192 0.250 0.808 Te

[18]
TlHg2Te PBE relaxed; M_tot = 0.0 μB/cell; E_tot = -6.3 eV/cell; E above lowest polymorph = 0.09 eV/f.u.; formation energy (no corrections) = -16 kJ/mol of formula units
1.0
0.000 3.899 3.899
3.899 0.000 3.899
3.899 3.899 0.000
Te Hg Tl
1 2 1
direct
0.000 0.000 0.000 Te
0.750 0.750 0.750 Hg
0.250 0.250 0.250 Hg
0.500 0.500 0.500 Tl

[19]
TlHgTe2 PBE relaxed; M_tot = 0.0 μB/cell; E_tot = -8.6 eV/cell; formation energy (no corrections) = 33 kJ/mol of formula units
1.0
-4.363 -3.318 -0.468
-4.620 1.845 -2.349
-1.510 -1.877 -4.946
Te Hg Tl
2 1 1
direct
0.250 0.250 0.250 Te
0.750 0.750 0.750 Te
0.000 0.000 0.000 Hg
0.500 0.500 0.500 Tl

[20]
TlHgTe PBE relaxed; M_tot = 0.0 μB/cell; E_tot = -6.0 eV/cell; E above lowest polymorph = 0.36 eV/f.u.; formation energy (no corrections) = -18 kJ/mol of formula units
1.0
7.217 0.273 -0.116
4.926 5.282 0.116
-5.682 -3.629 2.592
Hg Te Tl
1 1 1
direct
0.000 0.000 0.000 Hg
0.328 0.328 0.000 Te
0.672 0.672 0.000 Tl